No. 1
DFT (PBE) results for an optimized crystal structure of Sr2Hg2Pb3.

Lattice parameters (Å, degrees): 11.902 11.902 3.943 90.00 90.00 156.43
Fractional positions:
Sr: 0.157 0.843 0.000
Sr: 0.843 0.157 0.000
Hg: 0.286 0.714 0.500
Hg: 0.714 0.286 0.500
Pb: 0.000 0.000 0.000
Pb: 0.428 0.572 0.500
Pb: 0.572 0.428 0.500

Magnetic moment: 0.00 μB/f.u.
Volume: 31.91 A^3/atom
Energy relative to the elements: -0.341 eV per atom
DOS at the Fermi energy: 4.38 states/eV per cell

=====

No. 2
DFT (PBE) results for an optimized crystal structure of NaCaP2F.

Lattice parameters (Å, degrees): 4.846 4.846 4.342 90.00 90.00 90.00
Fractional positions:
Na: 0.000 0.000 0.000
Ca: 0.500 0.500 0.000
P: 0.000 0.500 0.500
P: 0.500 0.000 0.500
F: 0.500 0.500 0.500

Magnetic moment: 0.00 μB/f.u.
E_form (uncorrected): -565 meV per atom
Volume: 20.40 A^3/atom
DOS at the Fermi energy: 0.95 states/eV per cell

=====

No. 3
DFT (PBE) results for an optimized crystal structure of NaSc2MnBe.

Lattice parameters (Å, degrees): 5.066 5.066 4.313 90.00 90.00 90.00
Fractional positions:
Na: 0.000 0.000 0.000
Sc: 0.000 0.500 0.000
Sc: 0.500 0.000 0.000
Mn: 0.500 0.500 0.500
Be: 0.000 0.000 0.500

Magnetic moment: 3.27 μB/f.u.
Volume: 22.14 A^3/atom
Energy relative to the elements: 1.325 eV per atom
DOS at the Fermi energy: 4.72 states/eV per cell

=====

No. 4
DFT (PBE) results for an optimized crystal structure of Fe2PbW.

Lattice parameters (Å, degrees): 4.166 4.166 3.628 90.00 90.00 90.00
Fractional positions:
Fe: 0.000 0.500 0.000
Fe: 0.500 0.000 0.000
Pb: 0.000 0.000 0.500
W: 0.500 0.500 0.500

Magnetic moment: 5.04 μB/f.u.
Volume: 15.74 A^3/atom
Energy relative to the elements: 0.654 eV per atom
DOS at the Fermi energy: 3.44 states/eV per cell

=====

No. 5
DFT (PBE) results for an optimized crystal structure of Pa3Cd.

Lattice parameters (Å, degrees): 5.518 5.518 3.225 90.00 90.00 90.00
Fractional positions:
Pa: 0.000 0.000 0.000
Pa: 0.000 0.500 0.500
Pa: 0.500 0.000 0.500
Cd: 0.500 0.500 0.000

Magnetic moment: 0.00 μB/f.u.
Volume: 24.54 A^3/atom
Energy relative to the elements: 0.061 eV per atom
DOS at the Fermi energy: 7.86 states/eV per cell

=====

No. 6
DFT (PBE) results for an optimized crystal structure of CdRe2Ir.

Lattice parameters (Å, degrees): 3.832 3.832 4.333 90.00 90.00 90.00
Fractional positions:
Cd: 0.000 0.000 0.000
Re: 0.000 0.500 0.500
Re: 0.500 0.000 0.500
Ir: 0.500 0.500 0.000

Magnetic moment: 0.00 μB/f.u.
Volume: 15.91 A^3/atom
Energy relative to the elements: 0.599 eV per atom
DOS at the Fermi energy: 4.35 states/eV per cell

=====

No. 7
DFT (PBE) results for an optimized crystal structure of BaLiInAs.

Lattice parameters (Å, degrees): 4.412 4.412 12.191 90.00 90.00 90.00
Fractional positions:
Ba: 0.250 0.250 0.217
Ba: 0.750 0.750 0.783
Li: 0.250 0.750 0.000
Li: 0.750 0.250 0.000
In: 0.250 0.750 0.500
In: 0.750 0.250 0.500
As: 0.250 0.250 0.879
As: 0.750 0.750 0.121

Magnetic moment: 0.00 μB/f.u.
Volume: 29.66 A^3/atom
Energy relative to the elements: -0.622 eV per atom
DOS at the Fermi energy: 5.22 states/eV per cell

=====

No. 8
DFT (PBE) results for an optimized crystal structure of MgCd2Tc.

Lattice parameters (Å, degrees): 2.849 4.574 5.780 90.00 101.51 90.00
Fractional positions:
Mg: 0.000 0.000 0.000
Cd: 0.483 0.500 0.259
Cd: 0.517 0.500 0.741
Tc: 0.000 0.000 0.500

Magnetic moment: 0.00 μB/f.u.
Volume: 18.46 A^3/atom
Energy relative to the elements: 0.273 eV per atom
DOS at the Fermi energy: 3.23 states/eV per cell